Record 1
Crystalline LaTb8Dy3 at its relaxed geometry. Source: the Alexandria database, functional GGA-PBE.

Lattice parameters (Å, degrees): 8.3605 8.3605 8.3605 117.50 117.50 94.39
With the nearest neighbours (Å) after each atom.
Positions (direct):
La 0.0000 0.0000 0.0000  8 Tb 3.09-3.25
Tb 0.1273 0.1273 0.7498  3 Tb 3.07-3.24, 3 Dy 3.20-3.43, 1 La 3.25
Tb 0.2475 0.7433 0.0000  1 Dy 3.04, 1 La 3.09, 2 Tb 3.22-3.24
Tb 0.2567 0.2567 0.5042  1 Dy 3.04, 1 La 3.09, 2 Tb 3.22-3.24
Tb 0.3775 0.3775 0.2502  3 Tb 3.07-3.24, 3 Dy 3.20-3.43, 1 La 3.25
Tb 0.6225 0.8727 0.0000  3 Tb 3.07-3.24, 3 Dy 3.20-3.43, 1 La 3.25
Tb 0.7433 0.2475 0.0000  1 Dy 3.04, 1 La 3.09, 2 Tb 3.22-3.24
Tb 0.7525 0.7525 0.4958  1 Dy 3.04, 1 La 3.09, 2 Tb 3.22-3.24
Tb 0.8727 0.6225 0.0000  3 Tb 3.07-3.24, 3 Dy 3.20-3.43, 1 La 3.25
Dy 0.2500 0.7500 0.5000  4 Tb 3.43
Dy 0.5000 0.5000 0.0000  8 Tb 3.04-3.20
Dy 0.7500 0.2500 0.5000  4 Tb 3.43

Results
As for the crystal system: tetragonal. The total moment comes out at 0.000 μB/atom. The calculation puts the total energy at -4.0092 eV per atom. As for the formation enthalpy at 0 K: 639 meV/atom.

***

Record 2
Crystalline La2SmSn2 at its relaxed geometry. Source: the Alexandria database, functional GGA-PBE.

Lattice parameters (Å, degrees): 8.3346 8.3346 4.6778 90.00 90.00 90.00
With the nearest neighbours (Å) after each atom.
Positions (direct):
La 0.1719 0.3281 0.0000  6 Sn 3.32-3.44
La 0.3281 0.8281 0.0000  6 Sn 3.32-3.44
La 0.6719 0.1719 0.0000  6 Sn 3.32-3.44
La 0.8281 0.6719 0.0000  6 Sn 3.32-3.44
Sm 0.0000 0.0000 0.5000  4 Sn 3.28
Sm 0.5000 0.5000 0.5000  4 Sn 3.28
Sn 0.1284 0.6284 0.5000  1 Sn 3.03, 2 Sm 3.28, 2 La 3.32
Sn 0.3716 0.1284 0.5000  1 Sn 3.03, 2 Sm 3.28, 2 La 3.32
Sn 0.6284 0.8716 0.5000  1 Sn 3.03, 2 Sm 3.28, 2 La 3.32
Sn 0.8716 0.3716 0.5000  1 Sn 3.03, 2 Sm 3.28, 2 La 3.32

Results
As for the crystal system: tetragonal. The total moment comes out at 0.001 μB/atom. The calculation puts the total energy at -5.2435 eV per atom. As for the formation enthalpy at 0 K: -728 meV/atom.

***

Record 3
Crystalline RbCd3Rh at its relaxed geometry. Source: the Alexandria database, functional GGA-PBE.

Lattice parameters (Å, degrees): 4.4937 4.4937 9.0529 90.00 90.00 90.00
With the nearest neighbours (Å) after each atom.
Positions (direct):
Rb 0.0000 0.0000 0.0000  4 Rh 3.63, 5 Cd 3.72-3.90
Cd 0.0000 0.0000 0.5887  4 Cd 3.11
Cd 0.0000 0.5000 0.3517  2 Rh 2.66
Cd 0.5000 0.0000 0.3517  2 Rh 2.66
Rh 0.5000 0.5000 0.1936  4 Cd 2.66

Results
As for the crystal system: tetragonal. The total moment comes out at 0.000 μB/atom. The calculation puts the total energy at -1.9427 eV per atom. As for the formation enthalpy at 0 K: 270 meV/atom.

***

Q: total moment of number 1 (LaTb8Dy3)?
A: 0.000 μB/atom

***

Q: Number 1 is which compound?
A: LaTb8Dy3

***

Q: Which value of formation enthalpy at 0 K does entry 3 give?
A: 270 meV/atom